This record from Alexandria describes a relaxed structure of CrCu2NiSb. The functional is GGA-PBEsol.

Computed properties:
The crystal system is tetragonal. For the total energy, the calculation gives -4.827 eV/atom. The formation energy (no corrections) comes out at 5.5 eV per formula unit. The calculation puts the spin magnetization at 4.616 μB/f.u.

Cell lengths 4.5963, 4.6702, 4.6702 Å; angles 90.00, 90.00, 90.00 degrees
Closest atoms and distances in Å follow each position.
Positions (direct):
1 Sb 0.0000 0.0000 0.0000  2 Ni 2.30, 4 Cu 2.34
2 Cu 0.0000 0.0000 0.5000  2 Sb 2.34
3 Cr 0.5000 0.5000 0.5000  8 Cu 3.28, 4 Ni 3.30
4 Cu 0.0000 0.5000 0.0000  2 Sb 2.34
5 Ni 0.5000 0.0000 0.0000  2 Sb 2.30